(1)
First-principles (PBE) data for a relaxed structure of BaNa2ZnBi2, as listed in Alexandria.

The structure in POSCAR format:
```
BaNa2ZnBi2
1.0
-2.0001 0.7884 -4.4644
7.5050 -2.0424 -3.7230
-2.5794 -8.7636 -0.3920
Ba Na Zn Bi
2 4 2 4
Direct
0.0000 0.9995 0.4421
0.0000 0.4995 0.5579
0.5000 0.0344 0.0644
0.0000 0.3527 0.1584
0.5000 0.5344 0.9356
0.0000 0.8527 0.8416
0.5000 0.1529 0.6785
0.5000 0.6529 0.3215
0.0000 0.2191 0.8364
0.5000 0.2870 0.3680
0.0000 0.7191 0.1636
0.5000 0.7870 0.6320
```

Properties
DOS(E_F)	0.39	states/eV/f.u.
energy relative to the elements	-478	meV per atom
symmetry	Pmc2_1
size of the total moment	0.00	μB per atom


(2)
First-principles (PBE) data for a relaxed structure of BaNaZn2Bi, as listed in Alexandria.

The structure in POSCAR format:
```
BaNaZn2Bi
1.0
-3.6800 1.8586 -4.1087
-1.6880 -5.9667 -1.1872
-4.2325 0.4065 3.9747
Na Zn Bi Ba
1 2 1 1
Direct
0.0000 0.5000 0.0000
0.0000 0.0000 0.5000
0.5000 0.0000 0.0000
0.5000 0.5000 0.5000
0.0000 0.0000 0.0000
```

Properties
DOS(E_F)	3.06	states/eV/f.u.
energy relative to the elements	773	meV per atom
symmetry	P4/mmm
size of the total moment	0.00	μB per atom


(3)
First-principles (PBE) data for a relaxed structure of BaNb3Bi, as listed in Alexandria.

The structure in POSCAR format:
```
BaNb3Bi
1.0
-1.5374 -0.1719 5.1261
-5.1259 -0.1329 -1.5418
0.1767 -5.3500 -0.1265
Nb Bi Ba
3 1 1
Direct
0.0000 0.5000 0.0000
0.0000 0.0000 0.5000
0.5000 0.0000 0.0000
0.0000 0.0000 0.0000
0.5000 0.5000 0.5000
```

Properties
DOS(E_F)	7.99	states/eV/f.u.
energy relative to the elements	1534	meV per atom
symmetry	Pm-3m
size of the total moment	0.34	μB per atom
E above lowest polymorph	0.0	meV/atom


(4)
First-principles (PBE) data for a relaxed structure of BaNbBi2, as listed in Alexandria.

The structure in POSCAR format:
```
BaNbBi2
1.0
8.5103 0.0000 0.0000
0.0000 8.5103 0.0000
4.2552 4.2552 3.9507
Nb Bi Ba
2 4 2
Direct
0.5000 0.5000 0.0000
0.2500 0.7500 0.5000
0.5633 0.1250 0.2500
0.1867 0.6250 0.2500
0.3750 0.4367 0.7500
0.8750 0.8133 0.7500
0.0000 0.0000 0.0000
0.7500 0.2500 0.5000
```

Properties
DOS(E_F)	2.91	states/eV/f.u.
energy relative to the elements	44	meV per atom
symmetry	I-42d
size of the total moment	0.28	μB per atom
E above lowest polymorph	0.0	meV/atom


(5)
First-principles (PBE) data for a relaxed structure of BaNbBi2, as listed in Alexandria.

The structure in POSCAR format:
```
BaNbBi2
1.0
1.2898 -5.3603 -0.4600
-1.3592 -3.5287 4.0384
-3.9888 -3.7441 -0.8243
Nb Bi Ba
1 2 1
Direct
0.0000 0.0000 0.0000
0.2500 0.2500 0.2500
0.7500 0.7500 0.7500
0.5000 0.5000 0.5000
```

Properties
DOS(E_F)	2.50	states/eV/f.u.
energy relative to the elements	98	meV per atom
symmetry	Fm-3m
size of the total moment	0.51	μB per atom
E above lowest polymorph	54.4	meV/atom


(6)
First-principles (PBE) data for a relaxed structure of BaNbBi2, as listed in Alexandria.

The structure in POSCAR format:
```
BaNbBi2
1.0
3.7103 0.0000 0.0000
1.8551 3.2132 0.0000
1.8551 1.0711 11.2463
Nb Bi Ba
1 2 1
Direct
0.5000 0.5000 0.5000
0.1061 0.1061 0.6817
0.8939 0.8939 0.3183
0.0000 0.0000 0.0000
```

Properties
DOS(E_F)	2.28	states/eV/f.u.
energy relative to the elements	167	meV per atom
symmetry	R-3m
size of the total moment	0.00	μB per atom
E above lowest polymorph	123.3	meV/atom